# CdBiBr2 PBE-GGA optimized geometry
# N(E_F): 6.09 states/eV/cell
# Energy relative to the lowest polymorph listed for this composition: 0 meV per atom
# E_tot: -2.364 eV/atom
# Raw formation energy: -0.329 eV per atom
data_CdBiBr2
_cell_length_a 3.7443
_cell_length_b 3.7443
_cell_length_c 35.2477
_cell_angle_alpha 90.00
_cell_angle_beta 90.00
_cell_angle_gamma 120.00
_space_group_name_H-M_alt 'R -3 m'
_space_group_IT_number 166
_space_group_name_Hall '-R 3 2"'
loop_
_atom_site_label
_atom_site_type_symbol
_atom_site_fract_x
_atom_site_fract_y
_atom_site_fract_z
_atom_site_occupancy
Cd1 Cd 0.0000 0.0000 0.0000 1
Bi1 Bi 0.0000 0.0000 0.5000 1
Br1 Br 0.0000 0.0000 0.3826 1